1.
Density functional theory data (PBE-GGA) for a relaxed BaCd2Mo crystal.

```
8
Lattice="-0.995 -4.134 3.243 4.985 -1.784 -0.744 5.083 2.417 9.050" Properties=species:S:1:pos:R:3 pbc="T T T"
Mo 1.995 -2.959 1.249
Mo 6.032 -1.163 4.778
Cd 1.457 -1.431 3.592
Cd 4.077 -1.798 2.807
Cd 6.238 -0.739 7.586
Cd 6.374 -3.032 9.113
Ba 3.041 -2.338 6.771
Ba 0.000 0.000 0.000
```

Output
The energy above the most stable polymorph in this dataset is 288 meV per atom. The energy relative to the elements comes out at 288 kJ/mol of formula units.



2.
Density functional theory data (PBE-GGA) for a relaxed SrPrTa2O8 crystal.

```
12
Lattice="5.463 0.000 0.000 0.000 5.463 0.000 -2.732 -2.732 5.831" Properties=species:S:1:pos:R:3 pbc="T T T"
Ta 2.732 2.732 0.000
Ta 0.000 2.732 2.916
O 0.858 4.040 1.862
O -1.295 0.938 4.834
O 3.670 4.027 0.997
O 1.309 1.873 3.969
O 1.295 -0.938 4.834
O -1.309 3.590 3.969
O -0.858 1.423 1.862
O 1.793 1.436 0.997
Sr 2.732 0.000 2.916
Pr 0.000 0.000 0.000
```

Output
The uncorrected formation energy is -278.3 kJ/mol of atoms.



3.
Density functional theory data (PBE-GGA) for a relaxed Pm4Tm15In crystal.

```
20
Lattice="-0.449 4.723 1.355 -3.180 -1.317 3.536 18.916 -2.786 15.977" Properties=species:S:1:pos:R:3 pbc="T T T"
Pm 7.536 -1.110 6.365
Pm 11.380 -1.676 9.612
Pm 3.740 -0.551 3.159
Pm 15.176 -2.235 12.818
Tm 11.693 -2.615 12.987
Tm 1.588 2.095 2.209
Tm 16.879 -0.157 15.124
Tm 1.856 1.163 5.546
Tm 7.868 -2.052 9.756
Tm 4.043 -1.488 6.526
Tm 15.513 -3.178 16.214
Tm 9.233 0.969 8.666
Tm 0.223 -0.925 3.299
Tm 9.564 0.027 12.056
Tm 13.430 -0.542 15.322
Tm 5.409 1.532 5.436
Tm 13.058 0.405 11.897
Tm -1.815 1.703 2.446
Tm 5.723 0.593 8.812
In 0.000 0.000 0.000
```

Output
The energy relative to the elements comes out at -46 kJ/mol of formula units.



4.
Density functional theory data (PBE-GGA) for a relaxed MgZrCd2 crystal.

```
4
Lattice="-5.990 0.282 1.023 -5.308 -2.486 1.629 -1.524 0.807 5.404" Properties=species:S:1:pos:R:3 pbc="T T T"
Zr -3.079 -0.434 1.487
Cd -11.429 -2.117 3.200
Cd -9.458 -1.123 5.520
Mg -6.564 -0.627 4.530
```

Output
The energy relative to the elements comes out at -17 kJ/mol of formula units.